Record 1
VASP calculation (GGA-PBE) on a geometry-optimized CsMgNb2B structure.

Properties
VASP energy: -23.9 eV for the cell shown

Lattice parameters (Å, degrees): 4.676 4.641 4.676 90.00 90.00 90.00
Element x y z (fractional)
Cs1 0.500 0.500 0.500
Nb1 0.000 0.000 0.500
Nb2 0.500 0.000 0.000
B1 0.000 0.000 0.000
Mg1 0.000 0.500 0.000



Record 2
VASP calculation (GGA-PBE) on a geometry-optimized YMoAu2 structure.

Properties
VASP energy: -24.1 eV for the cell shown
ΔE to the lowest computed polymorph: 28 meV per atom

Lattice parameters (Å, degrees): 6.833 5.093 3.118 89.98 62.88 122.09
Site moments in Bohr magnetons follow the coordinates.
Element x y z (fractional)
Au1 0.000 0.000 0.000  0.02
Au2 0.500 0.000 0.500  0.02
Mo1 0.000 0.500 0.500  0.69
Y1 0.500 0.500 0.000  0.00



Record 3
VASP calculation (GGA-PBE) on a geometry-optimized NbNiPS2 structure.

Properties
VASP energy: -27.1 eV for the cell shown
ΔE to the lowest computed polymorph: 69 meV per atom
Formation energy without anion corrections: 2.44 eV/f.u.

Lattice parameters (Å, degrees): 4.735 4.735 4.909 90.00 90.00 90.00
Site moments in Bohr magnetons follow the coordinates.
Element x y z (fractional)
Ni1 0.500 0.500 0.500  0.94
Nb1 0.000 0.000 0.000  0.00
S1 0.000 0.500 0.000  0.03
S2 0.500 0.000 0.000  0.03
P1 0.000 0.000 0.500  0.02



Record 4
VASP calculation (GGA-PBE) on a geometry-optimized Na2TlHCl structure.

Properties
VASP energy: -12.2 eV for the cell shown

Lattice parameters (Å, degrees): 4.910 4.930 4.910 90.00 90.00 90.00
Element x y z (fractional)
Na1 0.000 0.000 0.500
Na2 0.500 0.000 0.000
Tl1 0.000 0.500 0.000
H1 0.000 0.000 0.000
Cl1 0.500 0.500 0.500



Record 5
VASP calculation (GGA-PBE) on a geometry-optimized Ac3Ce2HoSe6 structure.

Properties
VASP energy: -71.4 eV for the cell shown
Formation energy without anion corrections: -21.75 eV/f.u.

Lattice parameters (Å, degrees): 7.423 7.423 7.554 99.45 99.45 120.07
Site moments in Bohr magnetons follow the coordinates.
Element x y z (fractional)
Ac1 0.169 0.831 0.500  0.00
Ac2 0.831 0.169 0.500  0.00
Ac3 0.500 0.500 0.500  0.00
Ce1 0.334 0.666 0.000  0.83
Ce2 0.666 0.334 0.000  0.83
Ho1 0.000 0.000 0.000  0.02
Se1 0.925 0.599 0.773  -0.01
Se2 0.752 0.752 0.231  -0.01
Se3 0.075 0.401 0.227  -0.01
Se4 0.599 0.925 0.773  -0.01
Se5 0.248 0.248 0.769  -0.01
Se6 0.401 0.075 0.227  -0.01



Record 6
VASP calculation (GGA-PBE) on a geometry-optimized La2ZnSiSe structure.

Properties
VASP energy: -21.7 eV for the cell shown
Formation energy without anion corrections: -1.64 eV/f.u.

Lattice parameters (Å, degrees): 5.654 4.684 5.654 90.00 90.00 90.00
Element x y z (fractional)
Zn1 0.000 0.500 0.000
Si1 0.500 0.500 0.500
Se1 0.000 0.000 0.000
La1 0.000 0.000 0.500
La2 0.500 0.000 0.000



Record 7
VASP calculation (GGA-PBE) on a geometry-optimized KNpAgF6 structure.

Properties
VASP energy: -53.4 eV for the cell shown
Formation energy without anion corrections: -25.24 eV/f.u.

Lattice parameters (Å, degrees): 6.256 6.257 5.431 90.02 89.98 59.87
Site moments in Bohr magnetons follow the coordinates.
Element x y z (fractional)
K1 0.000 0.000 0.000  0.00
Np1 0.333 0.333 0.500  3.08
Ag1 0.666 0.666 0.500  0.00
F1 0.041 0.337 0.279  -0.02
F2 0.337 0.041 0.721  -0.02
F3 0.621 0.338 0.722  -0.02
F4 0.040 0.623 0.720  -0.02
F5 0.338 0.621 0.278  -0.02
F6 0.623 0.040 0.280  -0.02



Record 8
VASP calculation (GGA-PBE) on a geometry-optimized Na5B7C3 structure.

Properties
VASP energy: -157.6 eV for the cell shown
ΔE to the lowest computed polymorph: 36 meV per atom

Lattice parameters (Å, degrees): 7.462 7.462 10.283 120.76 120.76 40.45
Element x y z (fractional)
Na1 0.003 0.998 0.001
Na2 0.802 0.797 0.499
Na3 0.201 0.199 0.999
Na4 0.998 0.003 0.501
Na5 0.400 0.400 0.000
Na6 0.199 0.201 0.499
Na7 0.599 0.601 0.001
Na8 0.400 0.400 0.500
Na9 0.797 0.802 0.999
Na10 0.601 0.599 0.501
B1 0.953 0.653 0.250
B2 0.046 0.348 0.250
B3 0.181 0.821 0.750
B4 0.147 0.847 0.250
B5 0.266 0.534 0.250
B6 0.348 0.046 0.750
B7 0.653 0.953 0.750
B8 0.452 0.754 0.250
B9 0.534 0.266 0.750
B10 0.847 0.147 0.750
B11 0.619 0.979 0.250
B12 0.754 0.452 0.750
B13 0.821 0.181 0.250
B14 0.979 0.619 0.750
C1 0.239 0.561 0.750
C2 0.441 0.763 0.750
C3 0.359 0.037 0.250
C4 0.561 0.239 0.250
C5 0.037 0.359 0.750
C6 0.763 0.441 0.250



Record 9
VASP calculation (GGA-PBE) on a geometry-optimized Tl4SbSe5 structure.

Properties
VASP energy: -33.8 eV for the cell shown
Formation energy without anion corrections: -2.75 eV/f.u.

Lattice parameters (Å, degrees): 5.974 7.509 7.509 80.89 66.56 66.56
Element x y z (fractional)
Tl1 0.403 0.399 0.798
Tl2 0.802 0.798 0.601
Tl3 0.200 0.202 0.399
Tl4 0.599 0.601 0.202
Sb1 0.001 0.000 0.000
Se1 0.906 0.378 0.812
Se2 0.284 0.812 0.622
Se3 0.718 0.188 0.378
Se4 0.096 0.622 0.188
Se5 0.501 0.000 0.000



Record 10
VASP calculation (GGA-PBE) on a geometry-optimized KTeP2Cl structure.

Properties
VASP energy: -16.1 eV for the cell shown
ΔE to the lowest computed polymorph: 0 meV per atom
Formation energy without anion corrections: 0.85 eV/f.u.

Lattice parameters (Å, degrees): 5.032 5.032 6.172 90.00 90.00 90.00
Element x y z (fractional)
P1 0.000 0.500 0.000
P2 0.500 0.000 0.000
K1 0.500 0.500 0.500
Te1 0.000 0.000 0.000
Cl1 0.000 0.000 0.500



Record 11
VASP calculation (GGA-PBE) on a geometry-optimized Hg3Pb2I4 structure.

Properties
VASP energy: -18.2 eV for the cell shown
Formation energy without anion corrections: -3.64 eV/f.u.

Lattice parameters (Å, degrees): 4.633 10.681 8.099 97.24 90.02 102.50
Element x y z (fractional)
Hg1 0.499 0.999 0.701
Hg2 0.000 0.000 0.000
Hg3 0.501 0.001 0.299
Pb1 0.251 0.503 0.253
Pb2 0.749 0.497 0.747
I1 0.661 0.323 0.056
I2 0.158 0.316 0.549
I3 0.842 0.684 0.451
I4 0.339 0.677 0.944



Record 12
VASP calculation (GGA-PBE) on a geometry-optimized UCoMo structure.

Properties
VASP energy: -28.7 eV for the cell shown
ΔE to the lowest computed polymorph: 0 meV per atom

Lattice parameters (Å, degrees): 2.732 2.732 6.646 101.86 101.86 90.00
Site moments in Bohr magnetons follow the coordinates.
Element x y z (fractional)
U1 0.012 0.012 0.024  0.69
Mo1 0.311 0.311 0.623  0.00
Co1 0.677 0.677 0.353  -0.13